(1)
Compound: Ac4Pb2Au
Source: Alexandria via LeMat-Bulk
Functional: PBE
Structure: optimized geometry

- ΔH_f (0 K): -491 meV/atom
- SG: P2_1/m, No. 11
- Offset from the most stable computed form: 0.000 eV per formula unit
- Total magnetic moment: 0.0 μB/f.u.
- Density: 9.67 g/cm³

Cell: 7.502 7.478 10.698 Å, 90.00 119.57 90.00°
Fractional positions:
Ac (0.390, 0.492, 0.220)
Ac (0.153, 0.750, 0.836)
Ac (0.847, 0.250, 0.164)
Ac (0.390, 0.008, 0.220)
Ac (0.905, 0.250, 0.579)
Ac (0.610, 0.992, 0.780)
Ac (0.610, 0.508, 0.780)
Ac (0.095, 0.750, 0.421)
Pb (0.661, 0.750, 0.096)
Pb (0.339, 0.250, 0.904)
Pb (0.301, 0.250, 0.473)
Pb (0.699, 0.750, 0.527)
Au (0.019, 0.750, 0.069)
Au (0.981, 0.250, 0.931)

***

(2)
Compound: Ac12PbAu6
Source: Alexandria via LeMat-Bulk
Functional: PBE
Structure: optimized geometry

- ΔH_f (0 K): -521 meV/atom
- SG: Im-3, No. 204
- Total magnetic moment: 0.0 μB/f.u.
- Density: 9.80 g/cm³

Cell: 9.674 9.674 9.674 Å, 109.47 109.47 109.47°
Fractional positions:
Ac (0.303, 0.123, 0.820)
Ac (0.303, 0.483, 0.180)
Ac (0.697, 0.517, 0.820)
Ac (0.697, 0.877, 0.180)
Ac (0.123, 0.820, 0.303)
Ac (0.483, 0.180, 0.303)
Ac (0.517, 0.820, 0.697)
Ac (0.877, 0.180, 0.697)
Ac (0.820, 0.303, 0.123)
Ac (0.180, 0.303, 0.483)
Ac (0.820, 0.697, 0.517)
Ac (0.180, 0.697, 0.877)
Pb (0.000, 0.000, 0.000)
Au (0.369, 0.500, 0.869)
Au (0.631, 0.500, 0.131)
Au (0.500, 0.869, 0.369)
Au (0.500, 0.131, 0.631)
Au (0.869, 0.369, 0.500)
Au (0.131, 0.631, 0.500)

***

(3)
Compound: Ac6Pb2Au
Source: Alexandria via LeMat-Bulk
Functional: PBE
Structure: optimized geometry

- ΔH_f (0 K): -282 meV/atom
- SG: C2/m, No. 12
- Total magnetic moment: 0.0 μB/f.u.
- Density: 8.80 g/cm³

Cell: 5.616 8.008 9.612 Å, 114.62 106.92 90.00°
Fractional positions:
Ac (0.158, 0.401, 0.316)
Ac (0.842, 0.085, 0.684)
Ac (0.842, 0.599, 0.684)
Ac (0.500, 0.231, 0.000)
Ac (0.158, 0.915, 0.316)
Ac (0.500, 0.769, 0.000)
Pb (0.666, 0.667, 0.334)
Pb (0.334, 0.333, 0.666)
Au (0.000, 0.000, 0.000)

***

(4)
Compound: Ac4Pb2Au
Source: Alexandria via LeMat-Bulk
Functional: PBE
Structure: optimized geometry

- ΔH_f (0 K): -329 meV/atom
- SG: I4/mmm, No. 139
- Offset from the most stable computed form: 1.132 eV per formula unit
- Total magnetic moment: 0.0 μB/f.u.
- Density: 8.48 g/cm³

Cell: 5.747 5.747 9.881 Å, 106.91 106.91 90.00°
Fractional positions:
Pb (0.631, 0.631, 0.262)
Pb (0.369, 0.369, 0.738)
Ac (0.818, 0.818, 0.636)
Ac (0.182, 0.182, 0.364)
Ac (0.000, 0.500, 0.000)
Ac (0.500, 0.000, 0.000)
Au (0.000, 0.000, 0.000)